Here is a crystal of Y2ZnOs relaxed with PBEsol from Alexandria via LeMat-Bulk. Energies are from meta-GGA SCAN.

The structure belongs to space group C2/m (No. 12); the cell edges are 7.4638, 3.3520 and 7.4249 Å and the angles 90.00°, 99.80° and 90.00°. The distinct sites, in fractional coordinates, are Y at (0.2461, 0.0000, 0.2185), Zn at (0.0000, 0.0000, 0.5000) and Os at (0.0000, 0.5000, 0.0000).

For the total energy, the calculation gives -35.30 eV/atom.